# Hf2ThTcC4 | Alexandria | PBE | relaxed
data_Hf2ThTcC4
_symmetry_space_group_name_H-M 'C m c m'
_symmetry_Int_Tables_number 63
_symmetry_space_group_name_Hall '-C 2c 2'
_cell_length_a 3.379
_cell_length_b 11.718
_cell_length_c 11.415
_cell_angle_alpha 90.00
_cell_angle_beta 90.00
_cell_angle_gamma 90.00
loop_
_atom_site_label
_atom_site_fract_x
_atom_site_fract_y
_atom_site_fract_z
Hf1 0.000 0.129 0.041
Th1 0.000 0.401 0.250
Tc1 0.000 0.337 0.750
C1 0.000 0.066 0.250
C2 0.000 0.237 0.616
C3 0.000 0.500 0.000
# DOS(E_F)   10.96 states/eV/cell
# M_tot   0.00 μB/f.u.
# Energy   -77.79 eV per formula unit

=====

# HfTiTc2C | Alexandria | PBE | relaxed
data_HfTiTc2C
_symmetry_space_group_name_H-M 'P 4/m m m'
_symmetry_Int_Tables_number 123
_symmetry_space_group_name_Hall '-P 4 2'
_cell_length_a 4.654
_cell_length_b 4.654
_cell_length_c 4.936
_cell_angle_alpha 90.00
_cell_angle_beta 90.00
_cell_angle_gamma 90.00
loop_
_atom_site_label
_atom_site_fract_x
_atom_site_fract_y
_atom_site_fract_z
Hf1 0.000 0.000 0.000
Ti1 0.000 0.000 0.500
Tc1 0.000 0.500 0.000
C1 0.500 0.500 0.500
# DOS(E_F)   4.90 states/eV/cell
# M_tot   0.00 μB/f.u.
# Energy   -33.44 eV per formula unit